(A)
Computed, not measured: an optimized crystal structure of BaY2Fe at the GGA-PBE level of DFT.

Cell: 6.6466 6.6466 6.6466 Å, 148.09 125.12 64.90°
Closest atoms and distances in Å follow each position.
Atoms (fractional coordinates):
Ba (0.0000, 0.0000, 0.0000)  4 Fe 3.57, 2 Ba 3.65, 8 Y 3.69-3.99
Y (0.3162, 0.8162, 0.5000)  2 Fe 2.76
Y (0.6838, 0.1838, 0.5000)  2 Fe 2.76
Fe (0.5000, 0.5000, 0.0000)  4 Y 2.76

## Properties
Its density of states at the Fermi level is 5.8 states/eV/f.u. Its space group is No. 71.

(B)
Computed, not measured: an optimized crystal structure of BaY2Fe at the GGA-PBE level of DFT.

Cell: 6.1021 6.1021 6.1021 Å, 132.72 132.72 69.09°
Closest atoms and distances in Å follow each position.
Atoms (fractional coordinates):
Ba (0.0000, 0.0000, 0.0000)  8 Y 3.46-3.51, 4 Fe 3.51
Y (0.5000, 0.5000, 0.0000)  4 Ba 3.46, 4 Fe 3.51, 4 Y 3.51
Y (0.7500, 0.2500, 0.5000)  4 Fe 3.46, 4 Y 3.51, 4 Ba 3.51
Fe (0.2500, 0.7500, 0.5000)  8 Y 3.46-3.51, 4 Ba 3.51

## Properties
Its density of states at the Fermi level is 6.9 states/eV/f.u. Its space group is No. 119.

(C)
Computed, not measured: an optimized crystal structure of BaY2Fe at the GGA-PBE level of DFT.

Cell: 5.3235 5.3235 5.3235 Å, 60.00 60.00 60.00°
Closest atoms and distances in Å follow each position.
Atoms (fractional coordinates):
Ba (0.0000, 0.0000, 0.0000)  8 Y 3.26
Y (0.2500, 0.2500, 0.2500)  4 Ba 3.26, 4 Fe 3.26
Y (0.7500, 0.7500, 0.7500)  4 Ba 3.26, 4 Fe 3.26
Fe (0.5000, 0.5000, 0.5000)  8 Y 3.26

## Properties
Its density of states at the Fermi level is 5.5 states/eV/f.u. Its space group is No. 225.

(D)
Computed, not measured: an optimized crystal structure of BaY2Fe at the GGA-PBE level of DFT.

Cell: 3.8219 8.7454 8.7454 Å, 27.12 90.00 90.00°
Closest atoms and distances in Å follow each position.
Atoms (fractional coordinates):
Ba (0.0000, 0.0000, 0.0000)  2 Fe 3.41
Y (0.0000, 0.3096, 0.3096)  4 Fe 2.83
Y (0.5000, 0.6826, 0.6826)  1 Fe 2.58
Fe (0.5000, 0.8341, 0.8341)  5 Y 2.58-2.83

## Properties
Its density of states at the Fermi level is 5.6 states/eV/f.u. Its space group is No. 38.

Result of the stability comparison: (D) is the most stable of them.

(A)
Computed, not measured: an optimized crystal structure of BaYFe3 at the GGA-PBE level of DFT.

Cell: 5.1533 5.1533 5.1533 Å, 90.00 90.00 90.00°
Closest atoms and distances in Å follow each position.
Atoms (fractional coordinates):
Ba (0.0000, 0.0000, 0.0000)  12 Fe 3.64
Y (0.5000, 0.5000, 0.5000)  6 Fe 2.58
Fe (0.0000, 0.5000, 0.5000)  2 Y 2.58
Fe (0.5000, 0.0000, 0.5000)  2 Y 2.58
Fe (0.5000, 0.5000, 0.0000)  2 Y 2.58

## Properties
Its density of states at the Fermi level is 4.0 states/eV/f.u. Its space group is No. 221.

(B)
Computed, not measured: an optimized crystal structure of BaYFe3 at the GGA-PBE level of DFT.

Cell: 5.0162 5.0162 5.0162 Å, 90.00 90.00 90.00°
Closest atoms and distances in Å follow each position.
Atoms (fractional coordinates):
Ba (0.0000, 0.0000, 0.0000)  6 Fe 2.51
Y (0.5000, 0.5000, 0.5000)  12 Fe 3.55
Fe (0.0000, 0.0000, 0.5000)  2 Ba 2.51
Fe (0.0000, 0.5000, 0.0000)  2 Ba 2.51
Fe (0.5000, 0.0000, 0.0000)  2 Ba 2.51

## Properties
Its density of states at the Fermi level is 12.7 states/eV/f.u. Its space group is No. 221.

Result of the stability comparison: (A) is the most stable of them.

(A)
Computed, not measured: an optimized crystal structure of BaZn3Fe at the GGA-PBE level of DFT.

Cell: 6.0741 6.0741 6.0741 Å, 90.00 90.00 90.00°
Closest atoms and distances in Å follow each position.
Atoms (fractional coordinates):
Ba (0.0000, 0.0000, 0.0000)  6 Zn 3.04
Zn (0.0000, 0.0000, 0.5000)  2 Ba 3.04
Zn (0.0000, 0.5000, 0.0000)  2 Ba 3.04
Zn (0.5000, 0.0000, 0.0000)  2 Ba 3.04
Fe (0.5000, 0.5000, 0.5000)  12 Zn 4.30

## Properties
Its density of states at the Fermi level is 14.5 states/eV/f.u. Its space group is No. 221.

(B)
Computed, not measured: an optimized crystal structure of BaZn3Fe at the GGA-PBE level of DFT.

Cell: 4.8248 4.8248 4.8248 Å, 90.00 90.00 90.00°
Closest atoms and distances in Å follow each position.
Atoms (fractional coordinates):
Ba (0.0000, 0.0000, 0.0000)  12 Zn 3.41
Zn (0.0000, 0.5000, 0.5000)  2 Fe 2.41
Zn (0.5000, 0.0000, 0.5000)  2 Fe 2.41
Zn (0.5000, 0.5000, 0.0000)  2 Fe 2.41
Fe (0.5000, 0.5000, 0.5000)  6 Zn 2.41

## Properties
Its density of states at the Fermi level is 4.2 states/eV/f.u. Its space group is No. 221.

Result of the stability comparison: (B) is the most stable of them.